Record 1
# SCAN MgAg4, single point on PBEsol structure
data_MgAg4
_cell_length_a 5.941
_cell_length_b 5.941
_cell_length_c 5.941
_cell_angle_alpha 90.00
_cell_angle_beta 90.00
_cell_angle_gamma 90.00
_symmetry_space_group_name_H-M 'I m -3 m'
_symmetry_Int_Tables_number 229
_symmetry_space_group_name_Hall '-I 4 2 3'
loop_
_atom_site_label
_atom_site_fract_x
_atom_site_fract_y
_atom_site_fract_z
Mg1 0.000 0.000 0.000
Ag1 0.250 0.250 0.250
# **Total magnetization**: 0.00 μB per formula unit
# **Theoretical density**: 7.22 g/cm³
# **Energy relative to the elements**: 0.416 eV per atom

***

Record 2
# SCAN BiMoOsRh2, single point on PBEsol structure
data_BiMoOsRh2
_cell_length_a 4.649
_cell_length_b 4.649
_cell_length_c 5.093
_cell_angle_alpha 90.00
_cell_angle_beta 90.00
_cell_angle_gamma 90.00
_symmetry_space_group_name_H-M 'P 4/m m m'
_symmetry_Int_Tables_number 123
_symmetry_space_group_name_Hall '-P 4 2'
loop_
_atom_site_label
_atom_site_fract_x
_atom_site_fract_y
_atom_site_fract_z
Bi1 0.000 0.000 0.000
Mo1 0.500 0.500 0.000
Os1 0.000 0.000 0.500
Rh1 0.000 0.500 0.500
# **Total magnetization**: 3.71 μB per formula unit
# **Theoretical density**: 10.57 g/cm³
# **Energy relative to the elements**: 1.670 eV per atom

***

Record 3
# SCAN Y5Cd3, single point on PBEsol structure
data_Y5Cd3
_cell_length_a 8.265
_cell_length_b 10.097
_cell_length_c 5.061
_cell_angle_alpha 90.00
_cell_angle_beta 90.00
_cell_angle_gamma 90.00
_symmetry_space_group_name_H-M 'C m m m'
_symmetry_Int_Tables_number 65
_symmetry_space_group_name_Hall '-C 2 2'
loop_
_atom_site_label
_atom_site_fract_x
_atom_site_fract_y
_atom_site_fract_z
Y1 0.000 0.000 0.000
Y2 0.220 0.500 0.500
Y3 0.250 0.250 0.000
Cd1 0.000 0.222 0.500
Cd2 0.000 0.500 0.000
# **Total magnetization**: 0.00 μB per formula unit
# **Theoretical density**: 6.15 g/cm³
# **Energy relative to the elements**: -0.283 eV per atom

***

Record 4
# SCAN TaW, single point on PBEsol structure
data_TaW
_cell_length_a 10.197
_cell_length_b 3.194
_cell_length_c 6.409
_cell_angle_alpha 90.00
_cell_angle_beta 108.56
_cell_angle_gamma 90.00
_symmetry_space_group_name_H-M 'C 1 m 1'
_symmetry_Int_Tables_number 8
_symmetry_space_group_name_Hall 'C -2y'
loop_
_atom_site_label
_atom_site_fract_x
_atom_site_fract_y
_atom_site_fract_z
Ta1 0.000 0.000 0.000
Ta2 0.000 0.000 0.494
Ta3 0.174 0.500 0.834
W1 0.173 0.500 0.334
W2 0.333 0.000 0.167
W3 0.334 0.000 0.661
# **Total magnetization**: 0.00 μB per formula unit
# **Theoretical density**: 18.36 g/cm³
# **Energy relative to the elements**: -0.103 eV per atom

***

Record 5
# SCAN Cd3ReSb, single point on PBEsol structure
data_Cd3ReSb
_cell_length_a 5.384
_cell_length_b 5.384
_cell_length_c 5.384
_cell_angle_alpha 90.00
_cell_angle_beta 90.00
_cell_angle_gamma 90.00
_symmetry_space_group_name_H-M 'P m -3 m'
_symmetry_Int_Tables_number 221
_symmetry_space_group_name_Hall '-P 4 2 3'
loop_
_atom_site_label
_atom_site_fract_x
_atom_site_fract_y
_atom_site_fract_z
Cd1 0.000 0.000 0.500
Re1 0.500 0.500 0.500
Sb1 0.000 0.000 0.000
# **E_form (uncorrected)**: 1.689 eV/atom
# **Total magnetization**: 4.14 μB per formula unit
# **Theoretical density**: 6.86 g/cm³

***

Record 6
# SCAN Ca2Sn2Os, single point on PBEsol structure
data_Ca2Sn2Os
_cell_length_a 3.889
_cell_length_b 3.889
_cell_length_c 17.567
_cell_angle_alpha 90.00
_cell_angle_beta 90.00
_cell_angle_gamma 90.00
_symmetry_space_group_name_H-M 'I 4/m m m'
_symmetry_Int_Tables_number 139
_symmetry_space_group_name_Hall '-I 4 2'
loop_
_atom_site_label
_atom_site_fract_x
_atom_site_fract_y
_atom_site_fract_z
Ca1 0.000 0.000 0.088
Sn1 0.000 0.500 0.250
Os1 0.000 0.000 0.500
# **Total magnetization**: 0.55 μB per formula unit
# **Theoretical density**: 6.35 g/cm³
# **Energy relative to the elements**: 0.473 eV per atom

***

Record 7
# SCAN DyI3O9, single point on PBEsol structure
data_DyI3O9
_cell_length_a 7.071
_cell_length_b 8.268
_cell_length_c 13.186
_cell_angle_alpha 90.00
_cell_angle_beta 100.55
_cell_angle_gamma 90.00
_symmetry_space_group_name_H-M 'P 1 21/c 1'
_symmetry_Int_Tables_number 14
_symmetry_space_group_name_Hall '-P 2ybc'
loop_
_atom_site_label
_atom_site_fract_x
_atom_site_fract_y
_atom_site_fract_z
Dy1 0.176 0.240 0.145
I1 0.172 0.713 0.114
I2 0.269 0.015 0.887
I3 0.334 0.540 0.862
O1 0.012 0.517 0.380
O2 0.032 0.173 0.488
O3 0.148 0.697 0.825
O4 0.161 0.525 0.186
O5 0.241 0.216 0.826
O6 0.318 0.062 0.024
O7 0.351 0.026 0.231
O8 0.368 0.661 0.046
O9 0.467 0.179 0.628
# **E_form (uncorrected)**: -1.113 eV/atom
# **Total magnetization**: 0.00 μB per formula unit
# **Theoretical density**: 6.02 g/cm³

***

Record 8
# SCAN Ce2Co3Si5, single point on PBEsol structure
data_Ce2Co3Si5
_cell_length_a 9.556
_cell_length_b 11.139
_cell_length_c 5.565
_cell_angle_alpha 90.00
_cell_angle_beta 90.00
_cell_angle_gamma 90.00
_symmetry_space_group_name_H-M 'I b a m'
_symmetry_Int_Tables_number 72
_symmetry_space_group_name_Hall '-I 2 2c'
loop_
_atom_site_label
_atom_site_fract_x
_atom_site_fract_y
_atom_site_fract_z
Ce1 0.235 0.132 0.000
Co1 0.000 0.500 0.250
Co2 0.116 0.136 0.500
Si1 0.000 0.000 0.250
Si2 0.000 0.266 0.250
Si3 0.150 0.396 0.000
# **E_form (uncorrected)**: -0.710 eV/atom
# **Total magnetization**: 0.40 μB per formula unit
# **Theoretical density**: 6.70 g/cm³